# 1
# Ca2TbCeSb4, optimized geometry, DFT PBE
data_Ca2TbCeSb4
_chemical_formula_sum 'Ca2 Tb1 Ce1 Sb4'
_cell_length_a 4.502
_cell_length_b 7.790
_cell_length_c 7.741
_cell_angle_alpha 109.69
_cell_angle_beta 90.00
_cell_angle_gamma 90.00
_space_group_name_H-M_alt 'P 1'
_space_group_IT_number 1
_space_group_name_Hall 'P 1'
loop_
_atom_site_label
_atom_site_fract_x
_atom_site_fract_y
_atom_site_fract_z
Ca1 0.500 0.000 0.500
Ca2 0.000 0.500 0.500
Tb1 0.500 0.500 0.000
Ce1 0.000 0.000 0.000
Sb1 0.500 0.247 0.238
Sb2 0.500 0.753 0.762
Sb3 0.000 0.254 0.762
Sb4 0.000 0.746 0.238
# - DOS(E_F): 0.833 states/eV per atom
# - Raw formation energy: -957 meV per atom
# - Total DFT energy (no corrections): -4.839 eV per atom


# 2
# CaTbCe2Sb4, optimized geometry, DFT PBE
data_CaTbCe2Sb4
_chemical_formula_sum 'Ca1 Tb1 Ce2 Sb4'
_cell_length_a 4.496
_cell_length_b 7.695
_cell_length_c 7.804
_cell_angle_alpha 70.39
_cell_angle_beta 90.00
_cell_angle_gamma 90.00
_space_group_name_H-M_alt 'P 1'
_space_group_IT_number 1
_space_group_name_Hall 'P 1'
loop_
_atom_site_label
_atom_site_fract_x
_atom_site_fract_y
_atom_site_fract_z
Ca1 0.500 0.500 0.000
Tb1 0.000 0.500 0.500
Ce1 0.000 0.000 0.000
Ce2 0.500 0.000 0.500
Sb1 0.000 0.754 0.744
Sb2 0.000 0.246 0.256
Sb3 0.500 0.749 0.254
Sb4 0.500 0.251 0.746
# - DOS(E_F): 1.086 states/eV per atom
# - Raw formation energy: -1042 meV per atom
# - Total DFT energy (no corrections): -5.415 eV per atom


# 3
# Ca3CeTh2Sb6, optimized geometry, DFT PBE
data_Ca3CeTh2Sb6
_chemical_formula_sum 'Ca3 Ce1 Th2 Sb6'
_cell_length_a 7.884
_cell_length_b 7.884
_cell_length_c 7.784
_cell_angle_alpha 99.72
_cell_angle_beta 99.72
_cell_angle_gamma 120.00
_space_group_name_H-M_alt 'P 1'
_space_group_IT_number 1
_space_group_name_Hall 'P 1'
loop_
_atom_site_label
_atom_site_fract_x
_atom_site_fract_y
_atom_site_fract_z
Ca1 0.168 0.832 0.500
Ca2 0.832 0.168 0.500
Ca3 0.500 0.500 0.500
Ce1 0.000 0.000 0.000
Th1 0.334 0.666 0.000
Th2 0.666 0.334 0.000
Sb1 0.920 0.589 0.758
Sb2 0.751 0.751 0.242
Sb3 0.080 0.411 0.242
Sb4 0.589 0.920 0.758
Sb5 0.249 0.249 0.758
Sb6 0.411 0.080 0.242
# - DOS(E_F): 0.083 states/eV per atom
# - Raw formation energy: -987 meV per atom
# - Total DFT energy (no corrections): -5.279 eV per atom


# 4
# Ca3Ce2ThSb6, optimized geometry, DFT PBE
data_Ca3Ce2ThSb6
_chemical_formula_sum 'Ca3 Ce2 Th1 Sb6'
_cell_length_a 7.875
_cell_length_b 7.875
_cell_length_c 7.746
_cell_angle_alpha 99.76
_cell_angle_beta 99.76
_cell_angle_gamma 120.00
_space_group_name_H-M_alt 'P 1'
_space_group_IT_number 1
_space_group_name_Hall 'P 1'
loop_
_atom_site_label
_atom_site_fract_x
_atom_site_fract_y
_atom_site_fract_z
Ca1 0.166 0.834 0.500
Ca2 0.834 0.166 0.500
Ca3 0.500 0.500 0.500
Ce1 0.333 0.667 0.000
Ce2 0.667 0.333 0.000
Th1 0.000 0.000 0.000
Sb1 0.920 0.584 0.760
Sb2 0.743 0.743 0.239
Sb3 0.080 0.416 0.240
Sb4 0.584 0.920 0.760
Sb5 0.257 0.257 0.761
Sb6 0.416 0.080 0.240
# - DOS(E_F): 0.103 states/eV per atom
# - Raw formation energy: -985 meV per atom
# - Total DFT energy (no corrections): -5.154 eV per atom


# 5
# CaCeTh2Sb4, optimized geometry, DFT PBE
data_CaCeTh2Sb4
_chemical_formula_sum 'Ca1 Ce1 Th2 Sb4'
_cell_length_a 4.517
_cell_length_b 7.824
_cell_length_c 7.822
_cell_angle_alpha 109.44
_cell_angle_beta 90.00
_cell_angle_gamma 90.00
_space_group_name_H-M_alt 'P 1'
_space_group_IT_number 1
_space_group_name_Hall 'P 1'
loop_
_atom_site_label
_atom_site_fract_x
_atom_site_fract_y
_atom_site_fract_z
Ca1 0.500 0.500 0.000
Ce1 0.000 0.000 0.000
Th1 0.500 0.000 0.500
Th2 0.000 0.500 0.500
Sb1 0.500 0.250 0.250
Sb2 0.500 0.750 0.750
Sb3 0.000 0.249 0.748
Sb4 0.000 0.751 0.252
# - DOS(E_F): 1.088 states/eV per atom
# - Raw formation energy: -993 meV per atom
# - Total DFT energy (no corrections): -5.901 eV per atom


# 6
# Ca2CeTmSb4, optimized geometry, DFT PBE
data_Ca2CeTmSb4
_chemical_formula_sum 'Ca2 Ce1 Tm1 Sb4'
_cell_length_a 4.489
_cell_length_b 7.719
_cell_length_c 7.748
_cell_angle_alpha 109.68
_cell_angle_beta 90.00
_cell_angle_gamma 90.00
_space_group_name_H-M_alt 'P 1'
_space_group_IT_number 1
_space_group_name_Hall 'P 1'
loop_
_atom_site_label
_atom_site_fract_x
_atom_site_fract_y
_atom_site_fract_z
Ca1 0.500 0.000 0.500
Ca2 0.000 0.500 0.500
Ce1 0.000 0.000 0.000
Tm1 0.500 0.500 0.000
Sb1 0.500 0.249 0.237
Sb2 0.500 0.751 0.763
Sb3 0.000 0.258 0.765
Sb4 0.000 0.742 0.235
# - DOS(E_F): 0.829 states/eV per atom
# - Raw formation energy: -938 meV per atom
# - Total DFT energy (no corrections): -4.800 eV per atom


# 7
# Ca3Ce2TmSb6, optimized geometry, DFT PBE
data_Ca3Ce2TmSb6
_chemical_formula_sum 'Ca3 Ce2 Tm1 Sb6'
_cell_length_a 7.792
_cell_length_b 7.792
_cell_length_c 7.716
_cell_angle_alpha 99.69
_cell_angle_beta 99.69
_cell_angle_gamma 120.02
_space_group_name_H-M_alt 'P 1'
_space_group_IT_number 1
_space_group_name_Hall 'P 1'
loop_
_atom_site_label
_atom_site_fract_x
_atom_site_fract_y
_atom_site_fract_z
Ca1 0.168 0.832 0.500
Ca2 0.832 0.168 0.500
Ca3 0.500 0.500 0.500
Ce1 0.334 0.666 0.000
Ce2 0.666 0.334 0.000
Tm1 0.000 0.000 0.000
Sb1 0.922 0.591 0.764
Sb2 0.749 0.749 0.238
Sb3 0.078 0.409 0.236
Sb4 0.591 0.922 0.764
Sb5 0.251 0.251 0.762
Sb6 0.409 0.078 0.236
# - DOS(E_F): 0.810 states/eV per atom
# - Raw formation energy: -953 meV per atom
# - Total DFT energy (no corrections): -4.876 eV per atom


# 8
# Ca2CeUSb4, optimized geometry, DFT PBE
data_Ca2CeUSb4
_chemical_formula_sum 'Ca2 Ce1 U1 Sb4'
_cell_length_a 4.507
_cell_length_b 7.814
_cell_length_c 7.722
_cell_angle_alpha 109.68
_cell_angle_beta 90.00
_cell_angle_gamma 90.00
_space_group_name_H-M_alt 'P 1'
_space_group_IT_number 1
_space_group_name_Hall 'P 1'
loop_
_atom_site_label
_atom_site_fract_x
_atom_site_fract_y
_atom_site_fract_z
Ca1 0.500 0.000 0.500
Ca2 0.000 0.500 0.500
Ce1 0.000 0.000 0.000
U1 0.500 0.500 0.000
Sb1 0.500 0.252 0.237
Sb2 0.500 0.748 0.763
Sb3 0.000 0.260 0.765
Sb4 0.000 0.740 0.235
# - DOS(E_F): 1.178 states/eV per atom
# - Raw formation energy: -772 meV per atom
# - Total DFT energy (no corrections): -5.486 eV per atom


# 9
# CaCe2YSb4, optimized geometry, DFT PBE
data_CaCe2YSb4
_chemical_formula_sum 'Ca1 Ce2 Y1 Sb4'
_cell_length_a 4.495
_cell_length_b 7.684
_cell_length_c 7.803
_cell_angle_alpha 70.38
_cell_angle_beta 90.00
_cell_angle_gamma 90.00
_space_group_name_H-M_alt 'P 1'
_space_group_IT_number 1
_space_group_name_Hall 'P 1'
loop_
_atom_site_label
_atom_site_fract_x
_atom_site_fract_y
_atom_site_fract_z
Ca1 0.500 0.500 0.000
Ce1 0.000 0.000 0.000
Ce2 0.500 0.000 0.500
Y1 0.000 0.500 0.500
Sb1 0.000 0.754 0.744
Sb2 0.000 0.246 0.256
Sb3 0.500 0.749 0.255
Sb4 0.500 0.251 0.745
# - DOS(E_F): 1.108 states/eV per atom
# - Raw formation energy: -1047 meV per atom
# - Total DFT energy (no corrections): -5.649 eV per atom


# 10
# CaCeY2Sb4, optimized geometry, DFT PBE
data_CaCeY2Sb4
_chemical_formula_sum 'Ca1 Ce1 Y2 Sb4'
_cell_length_a 4.451
_cell_length_b 7.717
_cell_length_c 7.669
_cell_angle_alpha 70.82
_cell_angle_beta 90.00
_cell_angle_gamma 90.00
_space_group_name_H-M_alt 'P 1'
_space_group_IT_number 1
_space_group_name_Hall 'P 1'
loop_
_atom_site_label
_atom_site_fract_x
_atom_site_fract_y
_atom_site_fract_z
Ca1 0.000 0.500 0.500
Ce1 0.500 0.500 0.000
Y1 0.000 0.000 0.000
Y2 0.500 0.000 0.500
Sb1 0.000 0.754 0.751
Sb2 0.000 0.246 0.249
Sb3 0.500 0.756 0.244
Sb4 0.500 0.244 0.756
# - DOS(E_F): 0.515 states/eV per atom
# - Raw formation energy: -1063 meV per atom
# - Total DFT energy (no corrections): -5.733 eV per atom


# 11
# Ca3Ce2ZrSb6, optimized geometry, DFT PBE
data_Ca3Ce2ZrSb6
_chemical_formula_sum 'Ca3 Ce2 Zr1 Sb6'
_cell_length_a 7.683
_cell_length_b 7.683
_cell_length_c 7.733
_cell_angle_alpha 99.57
_cell_angle_beta 99.57
_cell_angle_gamma 120.04
_space_group_name_H-M_alt 'P 1'
_space_group_IT_number 1
_space_group_name_Hall 'P 1'
loop_
_atom_site_label
_atom_site_fract_x
_atom_site_fract_y
_atom_site_fract_z
Ca1 0.171 0.829 0.500
Ca2 0.829 0.171 0.500
Ca3 0.500 0.500 0.500
Ce1 0.334 0.666 0.000
Ce2 0.666 0.334 0.000
Zr1 0.000 0.000 0.000
Sb1 0.923 0.602 0.767
Sb2 0.759 0.759 0.236
Sb3 0.077 0.398 0.233
Sb4 0.602 0.923 0.767
Sb5 0.241 0.241 0.764
Sb6 0.398 0.077 0.233
# - DOS(E_F): 0.265 states/eV per atom
# - Raw formation energy: -916 meV per atom
# - Total DFT energy (no corrections): -5.178 eV per atom


# 12
# Ca2CeZrSb4, optimized geometry, DFT PBE
data_Ca2CeZrSb4
_chemical_formula_sum 'Ca2 Ce1 Zr1 Sb4'
_cell_length_a 4.384
_cell_length_b 7.591
_cell_length_c 7.729
_cell_angle_alpha 108.98
_cell_angle_beta 90.00
_cell_angle_gamma 90.00
_space_group_name_H-M_alt 'P 1'
_space_group_IT_number 1
_space_group_name_Hall 'P 1'
loop_
_atom_site_label
_atom_site_fract_x
_atom_site_fract_y
_atom_site_fract_z
Ca1 0.500 0.000 0.500
Ca2 0.000 0.500 0.500
Ce1 0.500 0.500 0.000
Zr1 0.000 0.000 0.000
Sb1 0.500 0.233 0.229
Sb2 0.500 0.767 0.771
Sb3 0.000 0.243 0.765
Sb4 0.000 0.757 0.235
# - DOS(E_F): 0.317 states/eV per atom
# - Raw formation energy: -879 meV per atom
# - Total DFT energy (no corrections): -5.250 eV per atom